1.
Zn2AsPt: optimized geometry, PBE.

Structure (POSCAR):
```
Zn2AsPt
1.0
4.604 0.000 0.000
0.000 4.604 0.000
0.000 0.000 2.999
Zn As Pt
2 1 1
direct
0.000 0.500 0.000
0.500 0.000 0.000
0.000 0.000 0.500
0.500 0.500 0.500
```

Calculated values
Crystal system: tetragonal
V (Å³/atom): 15.9
E_form (eV/atom): -0.099

2.
ZnAsPt: optimized geometry, PBE.

Structure (POSCAR):
```
ZnAsPt
1.0
-1.457 1.457 5.823
1.457 -1.457 5.823
1.457 1.457 -5.823
Zn As Pt
1 1 1
direct
0.000 0.000 0.000
0.311 0.311 0.000
0.648 0.648 0.000
```

Calculated values
Crystal system: tetragonal
V (Å³/atom): 16.5
E_form (eV/atom): -0.131
Offset from the most stable computed form (meV/atom): 215

3.
Zn4AsPt: optimized geometry, PBE.

Structure (POSCAR):
```
Zn4AsPt
1.0
0.000 3.593 3.593
3.593 0.000 3.593
3.593 3.593 0.000
Zn As Pt
4 1 1
direct
0.376 0.376 0.376
0.376 0.376 0.873
0.376 0.873 0.376
0.873 0.376 0.376
0.000 0.000 0.000
0.750 0.750 0.750
```

Calculated values
Crystal system: cubic
V (Å³/atom): 15.5
E_form (eV/atom): 0.024

4.
Zn2AsPt: optimized geometry, PBE.

Structure (POSCAR):
```
Zn2AsPt
1.0
3.010 0.000 0.000
0.000 4.396 0.000
-1.182 0.000 4.969
Zn As Pt
2 1 1
direct
0.000 0.000 0.000
0.079 0.500 0.307
0.362 0.000 0.548
0.421 0.500 0.870
```

Calculated values
Crystal system: monoclinic
V (Å³/atom): 16.4
E_form (eV/atom): -0.159

5.
ZnAsPt2: optimized geometry, PBE.

Structure (POSCAR):
```
ZnAsPt2
1.0
0.000 3.155 3.155
3.155 0.000 3.155
3.155 3.155 0.000
Zn As Pt
1 1 2
direct
0.000 0.000 0.000
0.500 0.500 0.500
0.250 0.250 0.250
0.750 0.750 0.750
```

Calculated values
Crystal system: cubic
V (Å³/atom): 15.7
E_form (eV/atom): -0.204
Offset from the most stable computed form (meV/atom): 106

6.
ZnAsPt: optimized geometry, PBE.

Structure (POSCAR):
```
ZnAsPt
1.0
4.480 0.000 0.000
-2.240 3.879 0.000
0.000 0.000 2.819
Zn As Pt
1 1 1
direct
0.000 0.000 0.000
0.333 0.667 0.500
0.667 0.333 0.500
```

Calculated values
Crystal system: hexagonal
V (Å³/atom): 16.3
E_form (eV/atom): -0.103
Offset from the most stable computed form (meV/atom): 243

7.
Zn2AsPt: optimized geometry, PBE.

Structure (POSCAR):
```
Zn2AsPt
1.0
0.000 3.179 3.179
3.179 0.000 3.179
3.179 3.179 0.000
Zn As Pt
2 1 1
direct
0.000 0.000 0.000
0.250 0.250 0.250
0.750 0.750 0.750
0.500 0.500 0.500
```

Calculated values
Crystal system: cubic
V (Å³/atom): 16.1
E_form (eV/atom): -0.032

8.
Zn2AsPt: optimized geometry, PBE.

Structure (POSCAR):
```
Zn2AsPt
1.0
3.501 0.000 0.000
0.000 3.501 0.000
0.000 0.000 5.284
Zn As Pt
2 1 1
direct
0.000 0.000 0.000
0.500 0.500 0.256
0.000 0.000 0.513
0.500 0.500 0.768
```

Calculated values
Crystal system: tetragonal
V (Å³/atom): 16.2
E_form (eV/atom): -0.113

9.
ZnAsPt2: optimized geometry, PBE.

Structure (POSCAR):
```
ZnAsPt2
1.0
4.241 -1.508 0.000
4.241 1.508 0.000
-0.958 0.000 4.939
Zn As Pt
1 1 2
direct
0.000 0.000 0.000
0.500 0.500 0.500
0.252 0.252 0.750
0.748 0.748 0.250
```

Calculated values
Crystal system: monoclinic
V (Å³/atom): 15.8
E_form (eV/atom): -0.224
Offset from the most stable computed form (meV/atom): 86

10.
Zn2AsPt: optimized geometry, PBE.

Structure (POSCAR):
```
Zn2AsPt
1.0
-1.993 1.993 3.948
1.993 -1.993 3.948
1.993 1.993 -3.948
Zn As Pt
2 1 1
direct
0.250 0.750 0.500
0.750 0.250 0.500
0.000 0.000 0.000
0.500 0.500 0.000
```

Calculated values
Crystal system: tetragonal
V (Å³/atom): 15.7
E_form (eV/atom): -0.147

11.
ZnAsPt2: optimized geometry, PBE.

Structure (POSCAR):
```
ZnAsPt2
1.0
-2.867 2.867 5.472
2.867 -2.867 5.472
2.867 2.867 -5.472
Zn As Pt
2 2 4
direct
0.000 0.000 0.000
0.750 0.250 0.500
0.250 0.750 0.500
0.500 0.500 0.000
0.142 0.625 0.017
0.375 0.392 0.517
0.608 0.125 0.983
0.875 0.858 0.483
```

Calculated values
Crystal system: tetragonal
V (Å³/atom): 22.5
E_form (eV/atom): -0.005
Offset from the most stable computed form (meV/atom): 306

12.
ZnAs2Pt2: optimized geometry, PBE.

Structure (POSCAR):
```
ZnAs2Pt2
1.0
6.927 0.000 0.000
0.000 6.927 0.000
0.000 0.000 3.648
Zn As Pt
2 4 4
direct
0.000 0.000 0.000
0.500 0.500 0.000
0.160 0.340 0.500
0.340 0.840 0.500
0.660 0.160 0.500
0.840 0.660 0.500
0.148 0.648 0.000
0.352 0.148 0.000
0.648 0.852 0.000
0.852 0.352 0.000
```

Calculated values
Crystal system: tetragonal
V (Å³/atom): 17.5
E_form (eV/atom): -0.086
Offset from the most stable computed form (meV/atom): 0

13.
ZnAsPt2: optimized geometry, PBE.

Structure (POSCAR):
```
ZnAsPt2
1.0
2.881 -3.620 0.000
2.881 3.620 0.000
0.000 0.000 3.020
Zn As Pt
1 1 2
direct
0.000 0.000 0.000
0.500 0.500 0.000
0.000 0.500 0.500
0.500 0.000 0.500
```

Calculated values
Crystal system: orthorhombic
V (Å³/atom): 15.8
E_form (eV/atom): -0.229
Offset from the most stable computed form (meV/atom): 81

14.
Zn2AsPt: optimized geometry, PBE.

Structure (POSCAR):
```
Zn2AsPt
1.0
-1.956 1.956 4.139
1.956 -1.956 4.139
1.956 1.956 -4.139
Zn As Pt
2 1 1
direct
0.000 0.000 0.000
0.750 0.250 0.500
0.250 0.750 0.500
0.500 0.500 0.000
```

Calculated values
Crystal system: tetragonal
V (Å³/atom): 15.8
E_form (eV/atom): -0.114

15.
Zn2AsPt: optimized geometry, PBE.

Structure (POSCAR):
```
Zn2AsPt
1.0
1.556 0.899 7.964
-1.556 0.899 7.964
0.000 -1.797 7.964
Zn As Pt
2 1 1
direct
0.000 0.000 0.000
0.249 0.249 0.249
0.494 0.494 0.494
0.749 0.749 0.749
```

Calculated values
Crystal system: trigonal
V (Å³/atom): 16.7
E_form (eV/atom): -0.044

16.
ZnAsPt2: optimized geometry, PBE.

Structure (POSCAR):
```
ZnAsPt2
1.0
-1.734 1.963 4.765
1.734 -1.963 4.765
1.734 1.963 -4.765
Zn As Pt
1 1 2
direct
0.000 0.000 0.000
0.254 0.754 0.500
0.447 0.447 0.000
0.693 0.193 0.500
```

Calculated values
Crystal system: orthorhombic
V (Å³/atom): 16.2
E_form (eV/atom): -0.255
Offset from the most stable computed form (meV/atom): 55

17.
ZnAsPt2: optimized geometry, PBE.

Structure (POSCAR):
```
ZnAsPt2
1.0
2.990 0.000 0.000
0.000 4.746 0.000
0.000 0.000 4.478
Zn As Pt
1 1 2
direct
0.000 0.000 0.000
0.500 0.500 0.751
0.000 0.500 0.248
0.500 0.000 0.505
```

Calculated values
Crystal system: orthorhombic
V (Å³/atom): 15.9
E_form (eV/atom): -0.269
Offset from the most stable computed form (meV/atom): 41

18.
Zn2AsPt: optimized geometry, PBE.

Structure (POSCAR):
```
Zn2AsPt
1.0
2.944 0.000 0.000
0.000 3.721 0.000
0.000 0.000 5.796
Zn As Pt
2 1 1
direct
0.000 0.000 0.231
0.000 0.000 0.769
0.500 0.500 0.500
0.500 0.500 0.000
```

Calculated values
Crystal system: orthorhombic
V (Å³/atom): 15.9
E_form (eV/atom): -0.166

19.
ZnAsPt2: optimized geometry, PBE.

Structure (POSCAR):
```
ZnAsPt2
1.0
3.530 0.000 0.000
0.000 3.530 0.000
0.000 0.000 5.189
Zn As Pt
1 1 2
direct
0.000 0.000 0.000
0.500 0.500 0.341
0.000 0.000 0.500
0.500 0.500 0.838
```

Calculated values
Crystal system: tetragonal
V (Å³/atom): 16.2
E_form (eV/atom): -0.310
Offset from the most stable computed form (meV/atom): 0

20.
ZnAsPt: optimized geometry, PBE.

Structure (POSCAR):
```
ZnAsPt
1.0
0.000 3.011 3.011
3.011 0.000 3.011
3.011 3.011 0.000
Zn As Pt
1 1 1
direct
0.000 0.000 0.000
0.500 0.500 0.500
0.750 0.750 0.750
```

Calculated values
Crystal system: cubic
V (Å³/atom): 18.2
E_form (eV/atom): -0.346
Offset from the most stable computed form (meV/atom): 0

One value per record, in order, for total magnetization: 0.000, 0.000, 0.000, 0.000, 0.000, 0.000, 0.000, 0.000, 0.000, 0.000, 0.000, 0.000, 0.000, 0.000, 0.000, 0.000, 0.000, 0.000, 0.000, 0.000 μB per formula unit.